[1]
Here is SiTcBr after structural relaxation from Alexandria. Energies are from GGA-PBEsol.

Summary:
distance to the lowest polymorph of the same formula: 279 meV per atom
volume: 16.8 A^3/atom

a b c (Å): 6.6991 6.3550 3.0568
angles (deg): 82.82 70.26 26.92
Positions (direct):
Si 0.0000 0.0000 0.0000
Tc 0.6417 0.6417 0.3583
Br 0.3132 0.3132 0.6868


[2]
Here is Si2TcBr after structural relaxation from Alexandria. Energies are from GGA-PBEsol.

Summary:
distance to the lowest polymorph of the same formula: 281 meV per atom
volume: 16.9 A^3/atom

a b c (Å): 5.8651 5.8651 5.8651
angles (deg): 151.55 135.03 54.08
Positions (direct):
Si 0.1985 0.1985 0.0000
Si 0.8015 0.8015 0.0000
Tc 0.0000 0.5000 0.5000
Br 0.5000 0.0000 0.5000


[3]
Here is SiTcBr after structural relaxation from Alexandria. Energies are from GGA-PBEsol.

Summary:
distance to the lowest polymorph of the same formula: 1240 meV per atom
volume: 18.4 A^3/atom

a b c (Å): 4.2750 4.2750 4.2750
angles (deg): 60.00 60.00 60.00
Positions (direct):
Si 0.0000 0.0000 0.0000
Tc 0.5000 0.5000 0.5000
Br 0.2500 0.2500 0.2500


Formation energy from raw total energies (eV per formula unit)
1.430, 1.973, 4.314